Model one:
Below is a geometry-optimized Be2CrCo structure, with properties calculated at the PBE-GGA level.

Output
Density of states at the Fermi level, states/eV per atom: 0.9506
Volume, Å³ per cell: 152.6
Density, g/cm3: 5.61

Unit cell a=5.3442 b=5.3442 c=5.3442 alpha=90.00 beta=90.00 gamma=90.00
Closest atoms and distances in Å follow each position.
Space group Fm-3m (No. 225)
Symmetry-distinct sites (fractional):
Be  0.2500  0.2500  0.2500 [8 per cell]  4 Cr 2.31, 4 Co 2.31
Cr  0.0000  0.0000  0.0000 [4 per cell]  8 Be 2.31
Co  0.0000  0.0000  0.5000 [4 per cell]  8 Be 2.31



Model two:
Below is a geometry-optimized Be2CrCo structure, with properties calculated at the PBE-GGA level.

Output
Density of states at the Fermi level, states/eV per atom: 0.7837
Volume, Å³ per cell: 74.7
Density, g/cm3: 5.74

Unit cell a=2.5686 b=3.8147 c=7.6209 alpha=90.00 beta=90.00 gamma=90.00
Closest atoms and distances in Å follow each position.
Space group Imm2 (No. 44)
Symmetry-distinct sites (fractional):
Be  0.0000  0.0000  0.0000 [2 per cell]  2 Be 2.16, 2 Co 2.28, 4 Cr 2.30
Be  0.0000  0.5000  0.2722 [2 per cell]  2 Be 2.16, 4 Co 2.31, 2 Cr 2.37
Cr  0.0000  0.0000  0.5106 [2 per cell]  6 Be 2.30-2.37, 2 Co 2.38, 2 Cr 2.57
Co  0.0000  0.5000  0.7472 [2 per cell]  6 Be 2.28-2.31, 2 Cr 2.38



Model three:
Below is a geometry-optimized Be2CrCo structure, with properties calculated at the PBE-GGA level.

Output
Density of states at the Fermi level, states/eV per atom: 0.5050
Volume, Å³ per cell: 119.1
Density, g/cm3: 5.39

Unit cell a=2.4322 b=2.4322 c=23.2529 alpha=90.00 beta=90.00 gamma=120.00
Closest atoms and distances in Å follow each position.
Space group R3m (No. 160, hexagonal axes)
Symmetry-distinct sites (fractional):
Be  0.0000  0.0000  0.0000 [3 per cell]  3 Co 2.32, 9 Be 2.37-2.43
Be  0.0000  0.0000  0.2513 [3 per cell]  9 Be 2.37-2.43, 3 Cr 2.44
Cr  0.0000  0.0000  0.4989 [3 per cell]  6 Cr 2.43, 3 Be 2.44, 3 Co 2.45
Co  0.0000  0.0000  0.7459 [3 per cell]  3 Be 2.32, 6 Co 2.43, 3 Cr 2.45



Model four:
Below is a geometry-optimized Be2CrCo structure, with properties calculated at the PBE-GGA level.

Output
Density of states at the Fermi level, states/eV per atom: 0.7607
Volume, Å³ per cell: 38.2
Density, g/cm3: 5.61

Unit cell a=2.3863 b=3.5870 c=4.5764 alpha=90.00 beta=102.97 gamma=90.00
Closest atoms and distances in Å follow each position.
Space group P2/m (No. 10)
Symmetry-distinct sites (fractional):
Be  0.2110  0.0000  0.2631 [2 per cell]  2 Co 2.21, 4 Be 2.29-2.39, 2 Cr 2.35
Cr  0.5000  0.5000  0.0000 [1 per cell]  2 Co 2.33, 8 Be 2.35-2.57, 2 Cr 2.39
Co  0.0000  0.5000  0.5000 [1 per cell]  4 Be 2.21, 2 Cr 2.33, 2 Co 2.39



The data favor model one; the next most stable structure lies 4.3 kJ/mol of atoms above it.



Model one:
Below is a geometry-optimized BeCr2Co2 structure, with properties calculated at the PBE-GGA level.

Output
Density of states at the Fermi level, states/eV per atom: 0.7695
Volume, Å³ per cell: 112.2
Density, g/cm3: 6.83

Unit cell a=6.6821 b=6.6821 c=2.5130 alpha=90.00 beta=90.00 gamma=90.00
Closest atoms and distances in Å follow each position.
Space group P4/mbm (No. 127)
Symmetry-distinct sites (fractional):
Be  0.0000  0.0000  0.0000 [2 per cell]  2 Be 2.51, 4 Co 2.64, 8 Cr 2.78
Cr  0.1713  0.3287  0.5000 [4 per cell]  6 Co 2.29-2.37, 2 Cr 2.51
Co  0.1261  0.6261  0.0000 [4 per cell]  6 Cr 2.29-2.37, 3 Co 2.38-2.51



Model two:
Below is a geometry-optimized BeCr2Co2 structure, with properties calculated at the PBE-GGA level.

Output
Density of states at the Fermi level, states/eV per atom: 1.0754
Volume, Å³ per cell: 121.1
Density, g/cm3: 6.33

Unit cell a=3.4325 b=3.4325 c=10.2756 alpha=90.00 beta=90.00 gamma=90.00
Closest atoms and distances in Å follow each position.
Space group I4/mmm (No. 139)
Symmetry-distinct sites (fractional):
Be  0.0000  0.0000  0.0000 [2 per cell]  8 Co 2.64
Cr  0.0000  0.5000  0.2500 [4 per cell]  4 Co 2.30, 4 Cr 2.43
Co  0.0000  0.0000  0.3990 [4 per cell]  1 Co 2.08, 4 Cr 2.30



The data favor model one; the next most stable structure lies 28.5 kJ/mol of atoms above it.